No. 1
Density functional theory data (GGA-PBE) for a relaxed structure of PtRh2SO.

```
data_PtRh2SO
_chemical_formula_sum 'Pt1 Rh2 S1 O1'
_cell_length_a 3.8890
_cell_length_b 3.8890
_cell_length_c 4.9504
_cell_angle_alpha 90.00
_cell_angle_beta 90.00
_cell_angle_gamma 90.00
_symmetry_space_group_name_H-M 'P 4/m m m'
_symmetry_Int_Tables_number 123
_symmetry_space_group_name_Hall '-P 4 2'
loop_
_atom_site_label
_atom_site_fract_x
_atom_site_fract_y
_atom_site_fract_z
Pt1 0.0000 0.0000 0.0000
Rh1 0.0000 0.5000 0.5000
S1 0.5000 0.5000 0.0000
O1 0.5000 0.5000 0.5000
```

- final energy (Ry/atom) = -0.3973
- magnetization (Bohr magnetons per cell) = 0.1
- calculated volume (Å³ per cell) = 74.9
- N(E_F) (states/eV per atom) = 1.564
- E_form (uncorrected) (eV/atom) = 0.56

=====

No. 2
Density functional theory data (GGA-PBE) for a relaxed structure of ScPtRhO6.

```
data_ScPtRhO6
_chemical_formula_sum 'Sc2 Pt2 Rh2 O12'
_cell_length_a 5.1683
_cell_length_b 5.1683
_cell_length_c 8.6970
_cell_angle_alpha 90.00
_cell_angle_beta 90.00
_cell_angle_gamma 120.00
_symmetry_space_group_name_H-M 'P -3 1 c'
_symmetry_Int_Tables_number 163
_symmetry_space_group_name_Hall '-P 3 2c'
loop_
_atom_site_label
_atom_site_fract_x
_atom_site_fract_y
_atom_site_fract_z
Sc1 0.3333 0.6667 0.2500
Pt1 0.3333 0.6667 0.7500
Rh1 0.0000 0.0000 0.0000
O1 0.0058 0.3327 0.6223
```

- final energy (Ry/atom) = -0.4969
- magnetization (Bohr magnetons per cell) = 2.7
- calculated volume (Å³ per cell) = 201.2
- N(E_F) (states/eV per atom) = 0.648
- E_form (uncorrected) (eV/atom) = -1.26

=====

No. 3
Density functional theory data (GGA-PBE) for a relaxed structure of SnPtRhO6.

```
data_SnPtRhO6
_chemical_formula_sum 'Sn2 Pt2 Rh2 O12'
_cell_length_a 4.6559
_cell_length_b 4.6559
_cell_length_c 9.6430
_cell_angle_alpha 90.00
_cell_angle_beta 90.00
_cell_angle_gamma 90.00
_symmetry_space_group_name_H-M 'P 42 n m'
_symmetry_Int_Tables_number 102
_symmetry_space_group_name_Hall 'P 4n -2n'
loop_
_atom_site_label
_atom_site_fract_x
_atom_site_fract_y
_atom_site_fract_z
Sn1 0.0000 0.0000 0.0000
Pt1 0.0000 0.0000 0.6672
Rh1 0.0000 0.0000 0.3313
O1 0.1858 0.1858 0.4991
O2 0.1943 0.1943 0.1682
O3 0.1954 0.1954 0.8309
```

- final energy (Ry/atom) = -0.4511
- magnetization (Bohr magnetons per cell) = 1.6
- calculated volume (Å³ per cell) = 209.0
- N(E_F) (states/eV per atom) = 0.487
- E_form (uncorrected) (eV/atom) = -0.90

=====

No. 4
Density functional theory data (GGA-PBE) for a relaxed structure of SrPtRhO4.

```
data_SrPtRhO4
_chemical_formula_sum 'Sr4 Pt4 Rh4 O16'
_cell_length_a 6.1408
_cell_length_b 6.1568
_cell_length_c 10.9551
_cell_angle_alpha 90.00
_cell_angle_beta 90.00
_cell_angle_gamma 90.00
_symmetry_space_group_name_H-M 'I m m a'
_symmetry_Int_Tables_number 74
_symmetry_space_group_name_Hall '-I 2b 2'
loop_
_atom_site_label
_atom_site_fract_x
_atom_site_fract_y
_atom_site_fract_z
Sr1 0.0000 0.2500 0.0953
Pt1 0.0000 0.0000 0.5000
Rh1 0.2500 0.2500 0.7500
O1 0.0000 0.0478 0.7738
O2 0.2034 0.2500 0.5583
```

- final energy (Ry/atom) = -0.4515
- magnetization (Bohr magnetons per cell) = 1.7
- calculated volume (Å³ per cell) = 414.2
- N(E_F) (states/eV per atom) = 0.560
- E_form (uncorrected) (eV/atom) = -1.16

=====

No. 5
Density functional theory data (GGA-PBE) for a relaxed structure of TaPtRh2O.

```
data_TaPtRh2O
_chemical_formula_sum 'Ta1 Pt1 Rh2 O1'
_cell_length_a 4.1826
_cell_length_b 4.1826
_cell_length_c 4.0495
_cell_angle_alpha 90.00
_cell_angle_beta 90.00
_cell_angle_gamma 90.00
_symmetry_space_group_name_H-M 'P 4/m m m'
_symmetry_Int_Tables_number 123
_symmetry_space_group_name_Hall '-P 4 2'
loop_
_atom_site_label
_atom_site_fract_x
_atom_site_fract_y
_atom_site_fract_z
Ta1 0.0000 0.0000 0.0000
Pt1 0.5000 0.5000 0.0000
Rh1 0.0000 0.5000 0.5000
O1 0.0000 0.0000 0.5000
```

- final energy (Ry/atom) = -0.5837
- magnetization (Bohr magnetons per cell) = 0.0
- calculated volume (Å³ per cell) = 70.8
- N(E_F) (states/eV per atom) = 0.790
- E_form (uncorrected) (eV/atom) = -0.43

=====

No. 6
Density functional theory data (GGA-PBE) for a relaxed structure of Tl2PtRhO6.

```
data_Tl2PtRhO6
_chemical_formula_sum 'Tl2 Pt1 Rh1 O6'
_cell_length_a 5.5846
_cell_length_b 5.5846
_cell_length_c 4.3134
_cell_angle_alpha 90.00
_cell_angle_beta 90.00
_cell_angle_gamma 90.00
_symmetry_space_group_name_H-M 'P 4 m m'
_symmetry_Int_Tables_number 99
_symmetry_space_group_name_Hall 'P 4 -2'
loop_
_atom_site_label
_atom_site_fract_x
_atom_site_fract_y
_atom_site_fract_z
Tl1 0.0000 0.5000 0.0000
Pt1 0.0000 0.0000 0.5626
Rh1 0.5000 0.5000 0.5513
O1 0.0000 0.0000 0.0861
O2 0.2523 0.2523 0.6357
O3 0.5000 0.5000 0.1071
```

- final energy (Ry/atom) = -0.3802
- magnetization (Bohr magnetons per cell) = 0.0
- calculated volume (Å³ per cell) = 134.5
- N(E_F) (states/eV per atom) = 0.412
- E_form (uncorrected) (eV/atom) = -0.39

=====

No. 7
Density functional theory data (GGA-PBE) for a relaxed structure of TlPtRhO4.

```
data_TlPtRhO4
_chemical_formula_sum 'Tl4 Pt4 Rh4 O16'
_cell_length_a 6.5568
_cell_length_b 6.5917
_cell_length_c 9.2485
_cell_angle_alpha 90.00
_cell_angle_beta 90.00
_cell_angle_gamma 90.00
_symmetry_space_group_name_H-M 'I m m a'
_symmetry_Int_Tables_number 74
_symmetry_space_group_name_Hall '-I 2b 2'
loop_
_atom_site_label
_atom_site_fract_x
_atom_site_fract_y
_atom_site_fract_z
Tl1 0.0000 0.2500 0.1254
Pt1 0.2500 0.2500 0.7500
Rh1 0.0000 0.0000 0.5000
O1 0.0000 0.0553 0.7246
O2 0.1977 0.2500 0.5266
```

- final energy (Ry/atom) = -0.4156
- magnetization (Bohr magnetons per cell) = 0.0
- calculated volume (Å³ per cell) = 399.7
- E_form (uncorrected) (eV/atom) = -0.57

=====

No. 8
Density functional theory data (GGA-PBE) for a relaxed structure of Tl3PtRh2O6.

```
data_Tl3PtRh2O6
_chemical_formula_sum 'Tl6 Pt2 Rh4 O12'
_cell_length_a 5.5706
_cell_length_b 9.6503
_cell_length_c 6.9145
_cell_angle_alpha 90.00
_cell_angle_beta 105.63
_cell_angle_gamma 90.00
_symmetry_space_group_name_H-M 'C 1 2/m 1'
_symmetry_Int_Tables_number 12
_symmetry_space_group_name_Hall '-C 2y'
loop_
_atom_site_label
_atom_site_fract_x
_atom_site_fract_y
_atom_site_fract_z
Tl1 0.0000 0.0000 0.0000
Tl2 0.0000 0.3333 0.0000
Pt1 0.0000 0.5000 0.5000
Rh1 0.0000 0.1667 0.5000
O1 0.2142 0.3341 0.6445
O2 0.2165 0.0000 0.6446
```

- final energy (Ry/atom) = -0.3933
- magnetization (Bohr magnetons per cell) = 0.0
- calculated volume (Å³ per cell) = 358.0
- N(E_F) (states/eV per atom) = 0.071
- E_form (uncorrected) (eV/atom) = -0.55

=====

> Look up the final energy of the second one.

-0.4969 Ry/atom

=====

> magnetization of number 4 (SrPtRhO4)?

1.7 Bohr magnetons per cell